The following is a PBE with a Hubbard U calculation of a relaxed structure of Li3V2O4F2, from the Alexandria database.

Results
Calculated total energy, eV per atom: -6.349
Energy relative to the lowest polymorph listed for this composition, kcal/mol of atoms: 0.58
V, Å³/f.u.: 116

Unit cell a=10.304 b=6.068 c=15.338 alpha=90.00 beta=104.41 gamma=90.00
Space group Cm (No. 8)
Unique sites:
Li 0.000 0.000 0.000 (multiplicity 2)
Li 0.004 0.000 0.492 (multiplicity 2)
Li 0.121 0.265 0.119 (multiplicity 4)
Li 0.127 0.000 0.858 (multiplicity 2)
Li 0.248 0.293 0.990 (multiplicity 4)
Li 0.257 0.245 0.491 (multiplicity 4)
Li 0.381 0.000 0.115 (multiplicity 2)
Li 0.391 0.238 0.867 (multiplicity 4)
V 0.113 0.000 0.319 (multiplicity 2)
V 0.114 0.500 0.326 (multiplicity 2)
V 0.143 0.249 0.655 (multiplicity 4)
V 0.367 0.250 0.328 (multiplicity 4)
V 0.395 0.500 0.661 (multiplicity 2)
V 0.399 0.000 0.660 (multiplicity 2)
O 0.066 0.238 0.399 (multiplicity 4)
O 0.076 0.500 0.719 (multiplicity 2)
O 0.078 0.000 0.723 (multiplicity 2)
O 0.171 0.249 0.258 (multiplicity 4)
O 0.206 0.000 0.581 (multiplicity 2)
O 0.213 0.500 0.586 (multiplicity 2)
O 0.300 0.500 0.403 (multiplicity 2)
O 0.304 0.000 0.396 (multiplicity 2)
O 0.338 0.246 0.725 (multiplicity 4)
O 0.425 0.500 0.264 (multiplicity 2)
O 0.438 0.000 0.261 (multiplicity 2)
O 0.445 0.258 0.585 (multiplicity 4)
F 0.070 0.224 0.917 (multiplicity 4)
F 0.192 0.000 0.084 (multiplicity 2)
F 0.196 0.500 0.074 (multiplicity 2)
F 0.306 0.000 0.900 (multiplicity 2)
F 0.323 0.500 0.913 (multiplicity 2)
F 0.439 0.253 0.071 (multiplicity 4)